An optimized crystal structure of BeCr3In. Source: Alexandria via LeMat-Bulk, functional GGA-PBE.

Results
Its energy relative to the lowest polymorph listed for this composition is 0 meV/atom. Its space-group type is Pm-3m, No. 221. As for the total energy: -6.33 eV per atom. As for the calculated formation energy: 3.669 eV/f.u. The value obtained for the density of states at the Fermi level is 1.246 states/eV/atom. The magnetic moment is 6.63 Bohr magnetons per cell. The calculated volume is 73.0 Å³ per cell.

Cell: 4.179 4.179 4.179 Å, 90.00 90.00 90.00°
Fractional positions:
1 Cr 0.000 0.000 0.500
2 Cr 0.000 0.500 0.000
3 Cr 0.500 0.000 0.000
4 Be 0.000 0.000 0.000
5 In 0.500 0.500 0.500

=====

An optimized crystal structure of BeCrIn. Source: Alexandria via LeMat-Bulk, functional GGA-PBE.

Results
Its energy relative to the lowest polymorph listed for this composition is 31 meV/atom. Its space-group type is I4mm, No. 107. As for the total energy: -4.94 eV per atom. As for the calculated formation energy: 1.283 eV/f.u. The value obtained for the density of states at the Fermi level is 0.531 states/eV/atom. The magnetic moment is 2.54 Bohr magnetons per cell. The calculated volume is 44.3 Å³ per cell.

Cell: 5.369 5.369 2.996 Å, 73.80 73.80 32.40°
Fractional positions:
1 In 0.664 0.664 0.336
2 Be 0.975 0.975 0.025
3 Cr 0.361 0.361 0.639

=====

An optimized crystal structure of BeCr2In. Source: Alexandria via LeMat-Bulk, functional GGA-PBE.

Results
Its energy relative to the lowest polymorph listed for this composition is 162 meV/atom. Its space-group type is P2/m, No. 10. As for the total energy: -6.03 eV per atom. As for the calculated formation energy: 1.573 eV/f.u. The value obtained for the density of states at the Fermi level is 0.869 states/eV/atom. The magnetic moment is 0.00 Bohr magnetons per cell. The calculated volume is 54.5 Å³ per cell.

Cell: 3.786 2.698 5.777 Å, 67.45 90.00 90.00°
Fractional positions:
1 Cr 0.000 0.993 0.938
2 Cr 0.000 0.507 0.562
3 Be 0.500 0.750 0.750
4 In 0.500 0.250 0.250

=====

An optimized crystal structure of BeCr3In. Source: Alexandria via LeMat-Bulk, functional GGA-PBE.

Results
Its energy relative to the lowest polymorph listed for this composition is 1188 meV/atom. Its space-group type is Pm-3m, No. 221. As for the total energy: -5.15 eV per atom. As for the calculated formation energy: 9.607 eV/f.u. The value obtained for the density of states at the Fermi level is 0.734 states/eV/atom. The magnetic moment is 12.83 Bohr magnetons per cell. The calculated volume is 130.5 Å³ per cell.

Cell: 5.073 5.073 5.073 Å, 90.00 90.00 90.00°
Fractional positions:
1 Cr 0.000 0.500 0.000
2 Cr 0.500 0.000 0.000
3 Cr 0.000 0.000 0.500
4 In 0.000 0.000 0.000
5 Be 0.500 0.500 0.500